1.
Eu2Ge3Au (GGA-PBE, optimized geometry); excess energy over the best structure of this formula in the dataset = 0.062 eV per atom; magnetization = 13.8 Bohr magnetons per cell; V = 24.182 A^3/atom; energy of formation from the pure elements = -0.60 eV/atom; space-group type = No. 187; total energy = -6.88 eV/atom
1.0
-4.212 -0.185 -1.402
3.018 -2.811 -1.655
-1.804 -5.559 6.153
Eu Ge Au
2 3 1
Direct
0.000 0.000 0.009
0.000 0.000 0.491
0.333 0.667 0.750
0.667 0.333 0.250
0.667 0.333 0.750
0.333 0.667 0.250

=====

2.
Eu2Ge3Au (GGA-PBE, optimized geometry); excess energy over the best structure of this formula in the dataset = 0.000 eV per atom; magnetization = 28.1 Bohr magnetons per cell; V = 24.041 A^3/atom; energy of formation from the pure elements = -0.66 eV/atom; space-group type = No. 69; total energy = -6.94 eV/atom
1.0
-7.575 2.742 -3.323
-5.705 -2.494 -6.057
-4.778 -2.970 2.594
Eu Ge Au
4 6 2
Direct
0.247 0.753 0.247
0.753 0.247 0.753
0.250 0.250 0.250
0.750 0.750 0.750
0.164 0.164 0.836
0.836 0.836 0.164
0.834 0.331 0.166
0.669 0.166 0.331
0.331 0.834 0.669
0.166 0.669 0.834
0.667 0.667 0.333
0.333 0.333 0.667

=====

3.
EuGeAu2 (GGA-PBE, optimized geometry); magnetization = 6.9 Bohr magnetons per cell; V = 21.948 A^3/atom; energy of formation from the pure elements = -0.45 eV/atom; space-group type = No. 225; total energy = -5.81 eV/atom
1.0
4.989 0.000 0.000
2.494 4.320 0.000
2.494 1.440 4.073
Eu Ge Au
1 1 2
Direct
0.000 0.000 0.000
0.500 0.500 0.500
0.250 0.250 0.250
0.750 0.750 0.750

=====

4.
Eu2GeAu (GGA-PBE, optimized geometry); excess energy over the best structure of this formula in the dataset = 0.165 eV per atom; magnetization = 14.2 Bohr magnetons per cell; V = 30.255 A^3/atom; energy of formation from the pure elements = -0.53 eV/atom; space-group type = No. 166; total energy = -7.64 eV/atom
1.0
-2.642 -3.299 -0.654
0.744 -2.733 -3.205
3.605 -6.328 3.379
Eu Ge Au
2 1 1
Direct
0.252 0.252 0.244
0.748 0.748 0.756
0.000 0.000 0.000
0.500 0.500 0.500

=====

5.
EuGeAu2 (GGA-PBE, optimized geometry); magnetization = 7.1 Bohr magnetons per cell; V = 21.979 A^3/atom; energy of formation from the pure elements = -0.39 eV/atom; space-group type = No. 123; total energy = -5.75 eV/atom
1.0
4.227 0.000 0.000
0.000 4.560 0.000
0.000 0.000 4.560
Eu Ge Au
1 1 2
Direct
0.500 0.000 0.000
0.500 0.500 0.500
0.000 0.000 0.500
0.000 0.500 0.000

=====

6.
EuHgGeAu (GGA-PBE, optimized geometry); magnetization = 6.9 Bohr magnetons per cell; V = 23.182 A^3/atom; energy of formation from the pure elements = -0.36 eV/atom; space-group type = No. 216; total energy = -4.98 eV/atom
1.0
-1.579 4.824 -0.223
-3.270 1.765 3.464
1.558 3.347 3.490
Eu Ge Au Hg
1 1 1 1
Direct
0.750 0.750 0.750
0.250 0.250 0.250
0.500 0.500 0.500
0.000 0.000 0.000

=====

7.
EuHoGeAu (GGA-PBE, optimized geometry); magnetization = 7.2 Bohr magnetons per cell; V = 24.335 A^3/atom; energy of formation from the pure elements = -0.74 eV/atom; space-group type = No. 216; total energy = -6.43 eV/atom
1.0
5.163 0.000 0.000
2.582 4.472 0.000
2.582 1.491 4.216
Eu Ge Au Ho
1 1 1 1
Direct
0.000 0.000 0.000
0.750 0.750 0.750
0.250 0.250 0.250
0.500 0.500 0.500

=====

8.
EuLuGeAu (GGA-PBE, optimized geometry); magnetization = 7.1 Bohr magnetons per cell; V = 23.769 A^3/atom; energy of formation from the pure elements = -0.73 eV/atom; space-group type = No. 216; total energy = -6.40 eV/atom
1.0
5.123 0.000 0.000
2.562 4.437 0.000
2.562 1.479 4.183
Eu Ge Lu Au
1 1 1 1
Direct
0.000 0.000 0.000
0.250 0.250 0.250
0.500 0.500 0.500
0.750 0.750 0.750

=====

9.
EuMgGeAu (GGA-PBE, optimized geometry); magnetization = 6.8 Bohr magnetons per cell; V = 22.069 A^3/atom; energy of formation from the pure elements = -0.54 eV/atom; space-group type = No. 216; total energy = -5.48 eV/atom
1.0
-4.812 1.332 -0.214
-3.574 -3.425 0.687
-2.761 0.070 4.165
Eu Ge Au Mg
1 1 1 1
Direct
0.500 0.500 0.500
0.250 0.250 0.250
0.750 0.750 0.750
0.000 0.000 0.000

=====

10.
NaEuGeAu (GGA-PBE, optimized geometry); magnetization = 7.0 Bohr magnetons per cell; V = 23.701 A^3/atom; energy of formation from the pure elements = -0.38 eV/atom; space-group type = No. 216; total energy = -5.25 eV/atom
1.0
5.118 0.000 0.000
2.559 4.432 0.000
2.559 1.477 4.179
Eu Na Ge Au
1 1 1 1
Direct
0.000 0.000 0.000
0.500 0.500 0.500
0.250 0.250 0.250
0.750 0.750 0.750

=====

11.
EuPaGeAu (GGA-PBE, optimized geometry); magnetization = 9.0 Bohr magnetons per cell; V = 24.463 A^3/atom; energy of formation from the pure elements = -0.35 eV/atom; space-group type = No. 216; total energy = -7.26 eV/atom
1.0
-2.904 -3.945 -1.661
1.500 -2.767 -4.105
1.646 -4.864 0.621
Eu Ge Pa Au
1 1 1 1
Direct
0.000 0.000 0.000
0.250 0.250 0.250
0.500 0.500 0.500
0.750 0.750 0.750

=====

12.
EuGePbAu (GGA-PBE, optimized geometry); magnetization = 6.9 Bohr magnetons per cell; V = 24.930 A^3/atom; energy of formation from the pure elements = -0.34 eV/atom; space-group type = No. 216; total energy = -5.81 eV/atom
1.0
5.205 0.000 0.000
2.603 4.508 0.000
2.603 1.503 4.250
Pb Eu Ge Au
1 1 1 1
Direct
0.500 0.500 0.500
0.000 0.000 0.000
0.250 0.250 0.250
0.750 0.750 0.750